#A
Material: TcIrC3
Method: DFT, GGA-PBE
State: relaxed

Unit cell a=3.9529 b=3.9529 c=3.9529 alpha=90.00 beta=90.00 gamma=90.00
With the nearest neighbours (Å) after each atom.
Fractional positions:
Tc 0.0000 0.0000 0.0000  12 C 2.80
Ir 0.5000 0.5000 0.5000  6 C 1.98
C 0.0000 0.5000 0.5000  2 Ir 1.98
C 0.5000 0.0000 0.5000  2 Ir 1.98
C 0.5000 0.5000 0.0000  2 Ir 1.98

Calculated values
spin magnetization	1.78	μB/f.u.
volume	61.76	Å³ per cell
D(E_F)	5.24	states/eV per cell
SG	Pm-3m (221)

***

#B
Material: TcIrC3
Method: DFT, GGA-PBE
State: relaxed

Unit cell a=3.9630 b=3.9630 c=3.9630 alpha=90.00 beta=90.00 gamma=90.00
With the nearest neighbours (Å) after each atom.
Fractional positions:
Tc 0.0000 0.0000 0.0000  6 C 1.98
Ir 0.5000 0.5000 0.5000  12 C 2.80
C 0.0000 0.0000 0.5000  2 Tc 1.98
C 0.0000 0.5000 0.0000  2 Tc 1.98
C 0.5000 0.0000 0.0000  2 Tc 1.98

Calculated values
spin magnetization	0.00	μB/f.u.
volume	62.24	Å³ per cell
D(E_F)	2.21	states/eV per cell
SG	Pm-3m (221)

***

Which of them is the least stable? Correct choice: #B.

***

#A
Material: Te3IrC
Method: DFT, GGA-PBE
State: relaxed

Unit cell a=5.2524 b=5.2524 c=5.2524 alpha=90.00 beta=90.00 gamma=90.00
With the nearest neighbours (Å) after each atom.
Fractional positions:
Te 0.0000 0.0000 0.5000  2 Ir 2.63
Te 0.0000 0.5000 0.0000  2 Ir 2.63
Te 0.5000 0.0000 0.0000  2 Ir 2.63
Ir 0.0000 0.0000 0.0000  6 Te 2.63
C 0.5000 0.5000 0.5000  12 Te 3.71

Calculated values
spin magnetization	0.74	μB/f.u.
volume	144.90	Å³ per cell
D(E_F)	7.73	states/eV per cell
SG	Pm-3m (221)

***

#B
Material: Te3IrC
Method: DFT, GGA-PBE
State: relaxed

Unit cell a=4.6377 b=4.6377 c=4.6377 alpha=90.00 beta=90.00 gamma=90.00
With the nearest neighbours (Å) after each atom.
Fractional positions:
Te 0.0000 0.0000 0.5000  2 C 2.32
Te 0.0000 0.5000 0.0000  2 C 2.32
Te 0.5000 0.0000 0.0000  2 C 2.32
Ir 0.5000 0.5000 0.5000  12 Te 3.28
C 0.0000 0.0000 0.0000  6 Te 2.32

Calculated values
spin magnetization	0.00	μB/f.u.
volume	99.75	Å³ per cell
D(E_F)	4.07	states/eV per cell
SG	Pm-3m (221)

***

Which of them is the least stable? Correct choice: #A.

***

#A
Material: TeIr2C
Method: DFT, GGA-PBE
State: relaxed

Unit cell a=6.5828 b=6.5828 c=6.5828 alpha=134.65 beta=134.65 gamma=66.07
With the nearest neighbours (Å) after each atom.
Fractional positions:
Te 0.0000 0.0000 0.0000  4 Ir 2.60
Te 0.7500 0.2500 0.5000  4 Ir 2.60
Ir 0.2291 0.6250 0.1041  2 C 2.02
Ir 0.3750 0.4791 0.6041  2 C 2.02
Ir 0.5209 0.1250 0.8959  2 C 2.02
Ir 0.8750 0.7709 0.3959  2 C 2.02
C 0.2500 0.7500 0.5000  4 Ir 2.02
C 0.5000 0.5000 0.0000  4 Ir 2.02

Calculated values
spin magnetization	0.00	μB/f.u.
volume	142.15	Å³ per cell
D(E_F)	3.91	states/eV per cell
SG	I-42d (122)

***

#B
Material: TeIr2C
Method: DFT, GGA-PBE
State: relaxed

Unit cell a=4.3914 b=4.3914 c=4.3914 alpha=60.00 beta=60.00 gamma=60.00
With the nearest neighbours (Å) after each atom.
Fractional positions:
Te 0.0000 0.0000 0.0000  8 Ir 2.69
Ir 0.2500 0.2500 0.2500  4 Te 2.69, 4 C 2.69
Ir 0.7500 0.7500 0.7500  4 Te 2.69, 4 C 2.69
C 0.5000 0.5000 0.5000  8 Ir 2.69

Calculated values
spin magnetization	0.00	μB/f.u.
volume	59.88	Å³ per cell
D(E_F)	4.88	states/eV per cell
SG	Fm-3m (225)

***

Which of them is the least stable? Correct choice: #B.

***

#A
Material: Th2IrC
Method: DFT, GGA-PBE
State: relaxed

Unit cell a=7.1225 b=7.1225 c=7.1225 alpha=31.51 beta=31.51 gamma=31.51
With the nearest neighbours (Å) after each atom.
Fractional positions:
Th 0.2413 0.2413 0.2413  3 C 2.70, 3 Ir 2.91
Th 0.7587 0.7587 0.7587  3 C 2.70, 3 Ir 2.91
Ir 0.0000 0.0000 0.0000  6 Th 2.91
C 0.5000 0.5000 0.5000  6 Th 2.70

Calculated values
spin magnetization	0.00	μB/f.u.
volume	87.63	Å³ per cell
D(E_F)	1.74	states/eV per cell
SG	R-3m (166)

***

#B
Material: Th2IrC
Method: DFT, GGA-PBE
State: relaxed

Unit cell a=5.8601 b=5.6135 c=11.8827 alpha=90.00 beta=114.28 gamma=90.00
With the nearest neighbours (Å) after each atom.
Fractional positions:
Th 0.0672 0.2492 0.1045  2 C 2.47-2.65
Th 0.0672 0.7508 0.6045  2 C 2.47-2.65
Th 0.3396 0.2370 0.8561  2 C 2.46-2.60
Th 0.3396 0.7630 0.3561  2 C 2.46-2.60
Th 0.6604 0.2370 0.6439  2 C 2.46-2.60
Th 0.6604 0.7630 0.1439  2 C 2.46-2.60
Th 0.9328 0.2492 0.3955  2 C 2.47-2.65
Th 0.9328 0.7508 0.8955  2 C 2.47-2.65
Ir 0.4043 0.2617 0.3573  6 Th 2.82-3.11
Ir 0.4043 0.7383 0.8573  6 Th 2.82-3.11
Ir 0.5957 0.2617 0.1427  6 Th 2.82-3.11
Ir 0.5957 0.7383 0.6427  6 Th 2.82-3.11
C 0.0574 0.2217 0.6202  4 Th 2.46-2.65
C 0.0574 0.7783 0.1202  4 Th 2.46-2.65
C 0.9426 0.2217 0.8798  4 Th 2.46-2.65
C 0.9426 0.7783 0.3798  4 Th 2.46-2.65

Calculated values
spin magnetization	0.00	μB/f.u.
volume	356.31	Å³ per cell
D(E_F)	6.50	states/eV per cell
SG	P2/c (13)

***

Which of them is the least stable? Correct choice: #B.

***

#A
Material: TlIrC2
Method: DFT, GGA-PBE
State: relaxed

Unit cell a=4.1359 b=4.1359 c=4.1359 alpha=60.00 beta=60.00 gamma=60.00
With the nearest neighbours (Å) after each atom.
Fractional positions:
Tl 0.0000 0.0000 0.0000  8 C 2.53
Ir 0.5000 0.5000 0.5000  8 C 2.53
C 0.2500 0.2500 0.2500  4 Ir 2.53, 4 Tl 2.53
C 0.7500 0.7500 0.7500  4 Tl 2.53, 4 Ir 2.53

Calculated values
spin magnetization	0.00	μB/f.u.
volume	50.03	Å³ per cell
D(E_F)	2.83	states/eV per cell
SG	Fm-3m (225)

***

#B
Material: TlIrC2
Method: DFT, GGA-PBE
State: relaxed

Unit cell a=6.1528 b=6.1528 c=6.1528 alpha=124.73 beta=124.73 gamma=81.98
With the nearest neighbours (Å) after each atom.
Fractional positions:
Tl 0.0000 0.0000 0.0000  4 C 2.99
Tl 0.7500 0.2500 0.5000  4 C 2.99
Ir 0.2500 0.7500 0.5000  4 C 1.90
Ir 0.5000 0.5000 0.0000  4 C 1.90
C 0.2885 0.6250 0.1635  2 Ir 1.90
C 0.3750 0.5385 0.6635  2 Ir 1.90
C 0.4615 0.1250 0.8365  2 Ir 1.90
C 0.8750 0.7115 0.3365  2 Ir 1.90

Calculated values
spin magnetization	0.00	μB/f.u.
volume	151.29	Å³ per cell
D(E_F)	3.44	states/eV per cell
SG	I-42d (122)

***

Which of them is the least stable? Correct choice: #A.

***

#A
Material: TlIrC3
Method: DFT, GGA-PBE
State: relaxed

Unit cell a=4.0910 b=4.0910 c=4.0910 alpha=90.00 beta=90.00 gamma=90.00
With the nearest neighbours (Å) after each atom.
Fractional positions:
Tl 0.0000 0.0000 0.0000  12 C 2.89
Ir 0.5000 0.5000 0.5000  6 C 2.05
C 0.0000 0.5000 0.5000  2 Ir 2.05
C 0.5000 0.0000 0.5000  2 Ir 2.05
C 0.5000 0.5000 0.0000  2 Ir 2.05

Calculated values
spin magnetization	0.00	μB/f.u.
volume	68.47	Å³ per cell
D(E_F)	2.62	states/eV per cell
SG	Pm-3m (221)

***

#B
Material: TlIrC3
Method: DFT, GGA-PBE
State: relaxed

Unit cell a=4.2626 b=4.2626 c=4.2626 alpha=90.00 beta=90.00 gamma=90.00
With the nearest neighbours (Å) after each atom.
Fractional positions:
Tl 0.0000 0.0000 0.0000  6 C 2.13
Ir 0.5000 0.5000 0.5000  12 C 3.01
C 0.0000 0.0000 0.5000  2 Tl 2.13
C 0.0000 0.5000 0.0000  2 Tl 2.13
C 0.5000 0.0000 0.0000  2 Tl 2.13

Calculated values
spin magnetization	0.00	μB/f.u.
volume	77.45	Å³ per cell
D(E_F)	5.43	states/eV per cell
SG	Pm-3m (221)

***

Which of them is the least stable? Correct choice: #B.

***

#A
Material: U2IrC
Method: DFT, GGA-PBE
State: relaxed

Unit cell a=2.9546 b=2.9546 c=7.1447 alpha=90.00 beta=90.00 gamma=90.00
With the nearest neighbours (Å) after each atom.
Fractional positions:
U 0.0000 0.0000 0.2010  4 C 2.53
U 0.0000 0.0000 0.7990  4 C 2.53
Ir 0.5000 0.5000 0.5000  4 Ir 2.95, 8 U 2.99
C 0.5000 0.5000 0.0000  8 U 2.53

Calculated values
spin magnetization	0.00	μB/f.u.
volume	62.37	Å³ per cell
D(E_F)	6.67	states/eV per cell
SG	P4/mmm (123)

***

#B
Material: U2IrC
Method: DFT, GGA-PBE
State: relaxed

Unit cell a=8.6005 b=8.6005 c=8.6005 alpha=20.32 beta=20.32 gamma=20.32
With the nearest neighbours (Å) after each atom.
Fractional positions:
U 0.1048 0.1048 0.1048  3 C 2.35
U 0.8952 0.8952 0.8952  3 C 2.35
Ir 0.0000 0.0000 0.0000  2 U 2.65
C 0.5000 0.5000 0.5000  6 U 2.35

Calculated values
spin magnetization	0.00	μB/f.u.
volume	67.13	Å³ per cell
D(E_F)	7.47	states/eV per cell
SG	R-3m (166)

***

Which of them is the least stable? Correct choice: #B.

***

#A
Material: VIrC2
Method: DFT, GGA-PBE
State: relaxed

Unit cell a=5.6826 b=5.6826 c=5.6826 alpha=133.06 beta=133.06 gamma=68.56
With the nearest neighbours (Å) after each atom.
Fractional positions:
V 0.0000 0.0000 0.0000  4 C 1.98
V 0.7500 0.2500 0.5000  4 C 1.98
Ir 0.2500 0.7500 0.5000  4 C 1.99
Ir 0.5000 0.5000 0.0000  4 C 1.99
C 0.1234 0.6250 0.9984  2 V 1.98, 2 Ir 1.99
C 0.3750 0.3734 0.4984  2 V 1.98, 2 Ir 1.99
C 0.6266 0.1250 0.0016  2 V 1.98, 2 Ir 1.99
C 0.8750 0.8766 0.5016  2 V 1.98, 2 Ir 1.99

Calculated values
spin magnetization	0.00	μB/f.u.
volume	96.20	Å³ per cell
D(E_F)	4.41	states/eV per cell
SG	I-42d (122)

***

#B
Material: VIrC2
Method: DFT, GGA-PBE
State: relaxed

Unit cell a=3.7603 b=3.7603 c=3.7603 alpha=60.00 beta=60.00 gamma=60.00
With the nearest neighbours (Å) after each atom.
Fractional positions:
V 0.0000 0.0000 0.0000  8 C 2.30
Ir 0.5000 0.5000 0.5000  8 C 2.30
C 0.2500 0.2500 0.2500  4 Ir 2.30, 4 V 2.30
C 0.7500 0.7500 0.7500  4 Ir 2.30, 4 V 2.30

Calculated values
spin magnetization	1.32	μB/f.u.
volume	37.60	Å³ per cell
D(E_F)	3.00	states/eV per cell
SG	Fm-3m (225)

***

Which of them is the least stable? Correct choice: #B.